VASP calculation (PBE-GGA) on SrCaZn2O4 after structural relaxation.

Formation energy without anion corrections ... -2009 meV/atom

Cell lengths 5.585, 5.585, 7.310 Å; angles 90.00, 90.00, 90.00 degrees
Space group I-42m (No. 121)
Inequivalent atoms, fractional coordinates:
Sr  0.000  0.000  0.000 (multiplicity 2)
Ca  0.000  0.000  0.500 (multiplicity 2)
Zn  0.000  0.500  0.250 (multiplicity 4)
O  0.235  0.235  0.678 (multiplicity 8)



VASP calculation (PBE-GGA) on HfSnAsBr2 after structural relaxation.

E above lowest polymorph ... 918 meV per atom
Formation energy without anion corrections ... 652 meV/atom

Cell lengths 5.359, 5.359, 5.506 Å; angles 90.00, 90.00, 90.00 degrees
Space group P4/mmm (No. 123)
Inequivalent atoms, fractional coordinates:
Hf  0.000  0.000  0.000 (multiplicity 1)
Sn  0.500  0.500  0.500 (multiplicity 1)
As  0.500  0.500  0.000 (multiplicity 1)
Br  0.000  0.500  0.500 (multiplicity 2)



VASP calculation (PBE-GGA) on ScCo2Rh after structural relaxation.

DFT formation energy ... -0.212 eV/atom

Cell lengths 3.093, 3.093, 5.914 Å; angles 90.00, 90.00, 90.00 degrees
Space group P4mm (No. 99)
Inequivalent atoms, fractional coordinates:
Sc  0.000  0.000  0.000 (multiplicity 1)
Co  0.000  0.000  0.470 (multiplicity 1)
Co  0.500  0.500  0.289 (multiplicity 1)
Rh  0.500  0.500  0.731 (multiplicity 1)



VASP calculation (PBE-GGA) on Be2PCl after structural relaxation.

E above lowest polymorph ... 1009 meV per atom
Formation energy without anion corrections ... 490 meV/atom

Cell lengths 4.346, 4.346, 2.770 Å; angles 90.00, 90.00, 90.00 degrees
Space group P4/mmm (No. 123)
Inequivalent atoms, fractional coordinates:
Be  0.000  0.500  0.000 (multiplicity 2)
P  0.000  0.000  0.500 (multiplicity 1)
Cl  0.500  0.500  0.500 (multiplicity 1)



VASP calculation (PBE-GGA) on LiCa12Tl6 after structural relaxation.

DFT formation energy ... -0.221 eV/atom

Cell lengths 11.8127, 11.8127, 15.3549 Å; angles 90.00, 90.00, 120.00 degrees
Space group R-3 (No. 148, hexagonal axes)
Inequivalent atoms, fractional coordinates:
Li  0.0000  0.0000  0.0000 (multiplicity 3)
Ca  0.0231  0.1901  0.8312 (multiplicity 18)
Ca  0.0457  0.8396  0.4051 (multiplicity 18)
Tl  0.0299  0.4276  0.7103 (multiplicity 18)



VASP calculation (PBE-GGA) on NaSr3Pt after structural relaxation.

E above lowest polymorph ... 64 meV per atom
DFT formation energy ... -0.373 eV/atom

Cell lengths 10.366, 7.463, 11.886 Å; angles 90.00, 121.06, 90.00 degrees
Space group P2_1/c (No. 14)
Inequivalent atoms, fractional coordinates:
Na  0.158  0.148  0.057 (multiplicity 4)
Sr  0.032  0.561  0.806 (multiplicity 4)
Sr  0.305  0.701  0.181 (multiplicity 4)
Sr  0.410  0.233  0.939 (multiplicity 4)
Pt  0.255  0.627  0.413 (multiplicity 4)